Ta3MnFe | GGA-PBEsol | relaxed

Cell: 4.4926 4.4926 4.4926 Å, 90.00 90.00 90.00°
Space group Pm-3m (No. 221)
Inequivalent atoms, fractional coordinates:
Ta (0.0000, 0.0000, 0.5000)
Mn (0.0000, 0.0000, 0.0000)
Fe (0.5000, 0.5000, 0.5000)

---

YTa2MnFe | GGA-PBEsol | relaxed

Cell: 4.8727 4.8727 4.3197 Å, 90.00 90.00 90.00°
Space group P4/mmm (No. 123)
Inequivalent atoms, fractional coordinates:
Y (0.0000, 0.0000, 0.0000)
Ta (0.0000, 0.5000, 0.0000)
Mn (0.0000, 0.0000, 0.5000)
Fe (0.5000, 0.5000, 0.5000)

---

MnFeTc | GGA-PBEsol | relaxed

Cell: 2.5576 2.5576 6.1731 Å, 90.00 90.00 120.00°
Space group P3m1 (No. 156)
Inequivalent atoms, fractional coordinates:
Mn (0.0000, 0.0000, 0.0000)
Fe (0.3333, 0.6667, 0.3083)
Tc (0.6667, 0.3333, 0.6566)

## Properties
Polymorph energy (0 for the lowest one): 0.079 eV per atom

---

MnFeTc2 | GGA-PBEsol | relaxed

Cell: 5.8718 5.8718 5.8718 Å, 90.00 90.00 90.00°
Space group Fm-3m (No. 225)
Inequivalent atoms, fractional coordinates:
Mn (0.0000, 0.0000, 0.0000)
Fe (0.0000, 0.0000, 0.5000)
Tc (0.2500, 0.2500, 0.2500)

## Properties
Polymorph energy (0 for the lowest one): 0.132 eV per atom

---

MnFeTc | GGA-PBEsol | relaxed

Cell: 5.4734 5.4734 5.4734 Å, 90.00 90.00 90.00°
Space group F-43m (No. 216)
Inequivalent atoms, fractional coordinates:
Mn (0.0000, 0.0000, 0.0000)
Fe (0.2500, 0.2500, 0.7500)
Tc (0.0000, 0.0000, 0.5000)

## Properties
Polymorph energy (0 for the lowest one): 0.547 eV per atom

---

MnFeTc2 | GGA-PBEsol | relaxed

Cell: 3.9536 2.6030 9.3894 Å, 90.00 90.00 90.00°
Space group Amm2 (No. 38)
Inequivalent atoms, fractional coordinates:
Mn (0.0000, 0.0000, 0.0000)
Fe (0.5000, 0.0000, 0.8828)
Tc (0.0000, 0.0000, 0.2700)
Tc (0.5000, 0.0000, 0.6128)

## Properties
Polymorph energy (0 for the lowest one): 0.000 eV per atom

---

MnFe2Tc | GGA-PBEsol | relaxed

Cell: 5.7215 5.7215 5.7215 Å, 90.00 90.00 90.00°
Space group F-43m (No. 216)
Inequivalent atoms, fractional coordinates:
Mn (0.0000, 0.0000, 0.0000)
Fe (0.0000, 0.0000, 0.5000)
Fe (0.2500, 0.2500, 0.2500)
Tc (0.2500, 0.2500, 0.7500)

## Properties
Polymorph energy (0 for the lowest one): 0.018 eV per atom

---

MnFeTc2 | GGA-PBEsol | relaxed

Cell: 8.5187 2.6003 4.4634 Å, 90.00 100.23 90.00°
Space group Cm (No. 8)
Inequivalent atoms, fractional coordinates:
Mn (0.0000, 0.0000, 0.0000)
Fe (0.2618, 0.0000, 0.7562)
Tc (0.0143, 0.5000, 0.5274)
Tc (0.2518, 0.5000, 0.2386)

## Properties
Polymorph energy (0 for the lowest one): 0.056 eV per atom

---

MnFeTc2 | GGA-PBEsol | relaxed

Cell: 2.6018 3.5880 5.2026 Å, 90.00 90.00 90.00°
Space group Pmmm (No. 47)
Inequivalent atoms, fractional coordinates:
Mn (0.0000, 0.0000, 0.0000)
Fe (0.0000, 0.0000, 0.5000)
Tc (0.5000, 0.5000, 0.2510)

## Properties
Polymorph energy (0 for the lowest one): 0.043 eV per atom

---

MnFe2Tc | GGA-PBEsol | relaxed

Cell: 2.8374 2.8374 5.8093 Å, 90.00 90.00 90.00°
Space group P4mm (No. 99)
Inequivalent atoms, fractional coordinates:
Mn (0.0000, 0.0000, 0.0000)
Fe (0.0000, 0.0000, 0.5271)
Fe (0.5000, 0.5000, 0.7581)
Tc (0.5000, 0.5000, 0.2591)

## Properties
Polymorph energy (0 for the lowest one): 0.000 eV per atom

---

MnFeTc | GGA-PBEsol | relaxed

Cell: 2.8932 2.8932 8.5744 Å, 90.00 90.00 90.00°
Space group I4mm (No. 107)
Inequivalent atoms, fractional coordinates:
Mn (0.0000, 0.0000, 0.0000)
Fe (0.0000, 0.0000, 0.3434)
Tc (0.0000, 0.0000, 0.6701)

## Properties
Polymorph energy (0 for the lowest one): 0.000 eV per atom

---

MnFe2Tc | GGA-PBEsol | relaxed

Cell: 4.0234 4.0234 2.8814 Å, 90.00 90.00 90.00°
Space group P4/mmm (No. 123)
Inequivalent atoms, fractional coordinates:
Mn (0.0000, 0.0000, 0.0000)
Fe (0.0000, 0.5000, 0.5000)
Tc (0.5000, 0.5000, 0.0000)

## Properties
Polymorph energy (0 for the lowest one): 0.060 eV per atom

---

MnFeTe | GGA-PBEsol | relaxed

Cell: 3.3676 3.3676 7.9475 Å, 90.00 90.00 90.00°
Space group I4mm (No. 107)
Inequivalent atoms, fractional coordinates:
Mn (0.0000, 0.0000, 0.0000)
Fe (0.0000, 0.0000, 0.3437)
Te (0.0000, 0.0000, 0.6707)

## Properties
Polymorph energy (0 for the lowest one): 0.000 eV per atom
Raw formation energy: 301 meV/atom

---

MnFe2Te | GGA-PBEsol | relaxed

Cell: 3.9869 3.9869 3.2481 Å, 90.00 90.00 90.00°
Space group P4/mmm (No. 123)
Inequivalent atoms, fractional coordinates:
Mn (0.0000, 0.0000, 0.0000)
Fe (0.0000, 0.5000, 0.5000)
Te (0.5000, 0.5000, 0.0000)

## Properties
Raw formation energy: 250 meV/atom

---

MnFeTe | GGA-PBEsol | relaxed

Cell: 4.1235 4.1235 3.0893 Å, 90.00 90.00 120.00°
Space group P-6m2 (No. 187)
Inequivalent atoms, fractional coordinates:
Mn (0.0000, 0.0000, 0.0000)
Fe (0.3333, 0.6667, 0.5000)
Te (0.6667, 0.3333, 0.5000)

## Properties
Polymorph energy (0 for the lowest one): 0.125 eV per atom
Raw formation energy: 426 meV/atom

---

Mn2FeTe | GGA-PBEsol | relaxed

Cell: 3.2764 3.2764 5.3062 Å, 90.00 90.00 90.00°
Space group P4mm (No. 99)
Inequivalent atoms, fractional coordinates:
Mn (0.0000, 0.0000, 0.0000)
Mn (0.5000, 0.5000, 0.2395)
Fe (0.5000, 0.5000, 0.7784)
Te (0.0000, 0.0000, 0.5014)

## Properties
Raw formation energy: 383 meV/atom

---

MnFe2Te | GGA-PBEsol | relaxed

Cell: 3.2629 3.2629 5.3122 Å, 90.00 90.00 90.00°
Space group P4mm (No. 99)
Inequivalent atoms, fractional coordinates:
Mn (0.0000, 0.0000, 0.0000)
Fe (0.0000, 0.0000, 0.5416)
Fe (0.5000, 0.5000, 0.7614)
Te (0.5000, 0.5000, 0.2618)

## Properties
Raw formation energy: 336 meV/atom

---

Mn2FeTe | GGA-PBEsol | relaxed

Cell: 3.7027 3.7512 7.7236 Å, 90.00 90.00 90.00°
Space group Imm2 (No. 44)
Inequivalent atoms, fractional coordinates:
Mn (0.0000, 0.0000, 0.0000)
Mn (0.0000, 0.5000, 0.2494)
Fe (0.0000, 0.0000, 0.5011)
Te (0.0000, 0.5000, 0.7508)

## Properties
Raw formation energy: 341 meV/atom

---

Mn2FeTe | GGA-PBEsol | relaxed

Cell: 3.2785 3.2785 5.3385 Å, 90.00 90.00 90.00°
Space group P4/mmm (No. 123)
Inequivalent atoms, fractional coordinates:
Mn (0.0000, 0.0000, 0.2331)
Fe (0.5000, 0.5000, 0.0000)
Te (0.5000, 0.5000, 0.5000)

## Properties
Raw formation energy: 337 meV/atom

---

Ti2MnFe | GGA-PBEsol | relaxed

Cell: 5.8504 5.8504 5.8504 Å, 90.00 90.00 90.00°
Space group Fm-3m (No. 225)
Inequivalent atoms, fractional coordinates:
Ti (0.2500, 0.2500, 0.2500)
Mn (0.0000, 0.0000, 0.0000)
Fe (0.0000, 0.0000, 0.5000)

---

Ti2MnZnFe | GGA-PBEsol | relaxed

Cell: 4.2869 4.2869 4.5362 Å, 90.00 90.00 90.00°
Space group P4/mmm (No. 123)
Inequivalent atoms, fractional coordinates:
Ti (0.0000, 0.5000, 0.0000)
Mn (0.0000, 0.0000, 0.5000)
Zn (0.5000, 0.5000, 0.5000)
Fe (0.5000, 0.5000, 0.0000)

---

MnTlFe2 | GGA-PBEsol | relaxed

Cell: 3.0693 3.0693 5.7934 Å, 90.00 90.00 90.00°
Space group P4/mmm (No. 123)
Inequivalent atoms, fractional coordinates:
Mn (0.0000, 0.0000, 0.0000)
Tl (0.0000, 0.0000, 0.5000)
Fe (0.5000, 0.5000, 0.1961)

## Properties
Polymorph energy (0 for the lowest one): 0.000 eV per atom

---

MnTlFe2 | GGA-PBEsol | relaxed

Cell: 3.1683 4.2215 8.2073 Å, 90.00 90.00 90.00°
Space group Immm (No. 71)
Inequivalent atoms, fractional coordinates:
Mn (0.0000, 0.0000, 0.0000)
Tl (0.0000, 0.0000, 0.5000)
Fe (0.0000, 0.5000, 0.2655)

## Properties
Polymorph energy (0 for the lowest one): 0.085 eV per atom

---

ZrMnTl2Fe | GGA-PBEsol | relaxed

Cell: 5.5025 5.5025 4.5254 Å, 90.00 90.00 90.00°
Space group P4/mmm (No. 123)
Inequivalent atoms, fractional coordinates:
Zr (0.0000, 0.0000, 0.0000)
Mn (0.0000, 0.0000, 0.5000)
Tl (0.0000, 0.5000, 0.0000)
Fe (0.5000, 0.5000, 0.5000)

---

MnV2Fe | GGA-PBEsol | relaxed

Cell: 5.6563 5.6563 5.6563 Å, 90.00 90.00 90.00°
Space group Fm-3m (No. 225)
Inequivalent atoms, fractional coordinates:
Mn (0.0000, 0.0000, 0.0000)
V (0.2500, 0.2500, 0.2500)
Fe (0.0000, 0.0000, 0.5000)

---

Mn2FeW | GGA-PBEsol | relaxed

Cell: 2.5558 2.5558 7.2591 Å, 90.00 90.00 90.00°
Space group P4mm (No. 99)
Inequivalent atoms, fractional coordinates:
Mn (0.0000, 0.0000, 0.0000)
Mn (0.5000, 0.5000, 0.2258)
Fe (0.0000, 0.0000, 0.4434)
W (0.5000, 0.5000, 0.7201)

---

Mn2FeW | GGA-PBEsol | relaxed

Cell: 3.0218 3.9575 4.0091 Å, 90.00 90.00 90.00°
Space group Pmmm (No. 47)
Inequivalent atoms, fractional coordinates:
Mn (0.0000, 0.0000, 0.0000)
Mn (0.5000, 0.0000, 0.5000)
Fe (0.0000, 0.5000, 0.5000)
W (0.5000, 0.5000, 0.0000)

---

Mn4FeW | GGA-PBEsol | relaxed

Cell: 6.4835 6.4835 6.4835 Å, 90.00 90.00 90.00°
Space group F-43m (No. 216)
Inequivalent atoms, fractional coordinates:
Mn (0.1232, 0.1232, 0.3768)
Fe (0.2500, 0.2500, 0.7500)
W (0.0000, 0.0000, 0.0000)

---

Mn2FeW | GGA-PBEsol | relaxed

Cell: 2.5861 2.5861 26.1184 Å, 90.00 90.00 120.00°
Space group R-3m (No. 166, hexagonal axes)
Inequivalent atoms, fractional coordinates:
Mn (0.0000, 0.0000, 0.0931)
Fe (0.0000, 0.0000, 0.5000)
W (0.0000, 0.0000, 0.0000)

---

Mn2FeW | GGA-PBEsol | relaxed

Cell: 3.5726 3.5726 7.3165 Å, 90.00 90.00 90.00°
Space group I4/mmm (No. 139)
Inequivalent atoms, fractional coordinates:
Mn (0.0000, 0.5000, 0.2500)
Fe (0.0000, 0.0000, 0.0000)
W (0.0000, 0.0000, 0.5000)

---

Mn2FeW | GGA-PBEsol | relaxed

Cell: 5.7679 5.7679 5.7679 Å, 90.00 90.00 90.00°
Space group F-43m (No. 216)
Inequivalent atoms, fractional coordinates:
Mn (0.0000, 0.0000, 0.0000)
Mn (0.2500, 0.2500, 0.2500)
Fe (0.0000, 0.0000, 0.5000)
W (0.2500, 0.2500, 0.7500)

---

no.,N(E_F) (states/eV/atom),uncorrected energy (eV/atom),calculated volume (A^3/atom)
1,1.314,-10.16,18.1
2,1.529,-7.60,20.5
3,1.284,-9.82,11.7
4,1.288,-10.14,12.7
5,1.901,-9.35,13.7
6,1.042,-10.27,12.1
7,0.948,-9.62,11.7
8,1.217,-10.21,12.2
9,0.974,-10.22,12.1
10,1.029,-9.64,11.7
11,1.046,-9.90,12.0
12,0.985,-9.58,11.7
13,0.991,-7.12,15.0
14,0.766,-7.55,12.9
15,0.766,-6.99,15.2
16,0.868,-7.62,14.2
17,1.012,-7.47,14.1
18,1.156,-7.66,13.4
19,0.608,-7.67,14.3
20,0.771,-9.19,12.5
21,0.876,-6.87,16.7
22,0.672,-7.16,13.6
23,0.835,-7.07,13.7
24,1.248,-5.06,27.4
25,0.951,-9.71,11.3
26,0.986,-10.41,11.9
27,0.611,-10.48,12.0
28,0.847,-10.25,11.4
29,1.394,-9.90,12.6
30,1.355,-10.40,11.7
31,1.051,-10.47,12.0